No. 1
Below is a relaxed structure of NiTeW, with properties calculated at the PBEsol level.

a b c (Å): 3.243 3.243 8.897
angles (deg): 90.00 90.00 90.00
Space group I4mm (No. 107)
One atom of each set of equivalent atoms:
Ni (0.000, 0.000, 0.000) [2 per cell]
Te (0.000, 0.000, 0.339) [2 per cell]
W (0.000, 0.000, 0.661) [2 per cell]

Results
- V (Å³/atom) = 15.59
- DOS(E_F) (states/eV/f.u.) = 1.882
- formation energy from raw total energies (kJ per mole of atoms) = 42.3

***

No. 2
Below is a relaxed structure of ZrCdI2, with properties calculated at the PBEsol level.

a b c (Å): 7.364 7.364 7.364
angles (deg): 90.00 90.00 90.00
Space group Fm-3m (No. 225)
One atom of each set of equivalent atoms:
Zr (0.000, 0.000, 0.000) [4 per cell]
Cd (0.000, 0.000, 0.500) [4 per cell]
I (0.250, 0.250, 0.250) [8 per cell]

Results
- V (Å³/atom) = 24.96
- DOS(E_F) (states/eV/f.u.) = 3.667
- formation energy from raw total energies (kJ per mole of atoms) = -2.2

***

No. 3
Below is a relaxed structure of ZrAg2W, with properties calculated at the PBEsol level.

a b c (Å): 2.8322 2.8322 29.8715
angles (deg): 90.00 90.00 120.00
Space group R3m (No. 160, hexagonal axes)
One atom of each set of equivalent atoms:
Zr (0.0000, 0.0000, 0.0000) [3 per cell]
Ag (0.0000, 0.0000, 0.2467) [3 per cell]
Ag (0.0000, 0.0000, 0.5002) [3 per cell]
W (0.0000, 0.0000, 0.7537) [3 per cell]

Results
- total energy (eV per atom) = -7.082
- V (Å³/atom) = 17.29
- DOS(E_F) (states/eV/f.u.) = 3.383

***

No. 4
Below is a relaxed structure of SbRhBr2, with properties calculated at the PBEsol level.

a b c (Å): 3.251 4.605 5.566
angles (deg): 90.00 90.00 90.00
Space group Pmmm (No. 47)
One atom of each set of equivalent atoms:
Sb (0.000, 0.000, 0.000) [1 per cell]
Rh (0.500, 0.000, 0.500) [1 per cell]
Br (0.000, 0.500, 0.500) [1 per cell]
Br (0.500, 0.500, 0.000) [1 per cell]

Results
- V (Å³/atom) = 20.83
- DOS(E_F) (states/eV/f.u.) = 2.628
- formation energy from raw total energies (kJ per mole of atoms) = 35.2